# ScFeCu | Alexandria via LeMat-Bulk | PBE | relaxed
data_ScFeCu
_chemical_formula_sum 'Sc4 Fe4 Cu4'
_symmetry_space_group_name_H-M 'I m m a'
_symmetry_Int_Tables_number 74
_symmetry_space_group_name_Hall '-I 2b 2'
_cell_length_a 4.8758
_cell_length_b 4.9418
_cell_length_c 7.2541
_cell_angle_alpha 90.00
_cell_angle_beta 90.00
_cell_angle_gamma 90.00
loop_
_atom_site_label
_atom_site_type_symbol
_atom_site_fract_x
_atom_site_fract_y
_atom_site_fract_z
_atom_site_occupancy
Sc1 Sc 0.0000 0.2500 0.1206 1
Fe1 Fe 0.2500 0.2500 0.7500 1
Cu1 Cu 0.0000 0.0000 0.5000 1
# size of the total moment	1.1	μB/f.u.
# calculated volume	14.57	Å³/atom
# DOS(E_F)	1.194	states/eV/atom
# ΔH_f (0 K)	-0.158	eV per atom



# SnSbPd | Alexandria via LeMat-Bulk | PBE | relaxed
data_SnSbPd
_chemical_formula_sum 'Sn4 Sb4 Pd4'
_symmetry_space_group_name_H-M 'C 1 m 1'
_symmetry_Int_Tables_number 8
_symmetry_space_group_name_Hall 'C -2y'
_cell_length_a 10.2602
_cell_length_b 8.5208
_cell_length_c 3.4343
_cell_angle_alpha 90.00
_cell_angle_beta 105.88
_cell_angle_gamma 90.00
loop_
_atom_site_label
_atom_site_type_symbol
_atom_site_fract_x
_atom_site_fract_y
_atom_site_fract_z
_atom_site_occupancy
Sn1 Sn 0.0000 0.2431 0.0000 1
Sb1 Sb 0.2896 0.5000 0.2365 1
Sb2 Sb 0.3008 0.0000 0.2436 1
Pd1 Pd 0.2157 0.2475 0.6798 1
# energy relative to the lowest polymorph listed for this composition	146	meV/atom
# size of the total moment	0.0	μB/f.u.
# calculated volume	24.06	Å³/atom
# DOS(E_F)	0.392	states/eV/atom
# raw formation energy	-0.18	eV/atom



# SbH | Alexandria via LeMat-Bulk | PBE | relaxed
data_SbH
_chemical_formula_sum 'Sb6 H6'
_symmetry_space_group_name_H-M 'P m m n'
_symmetry_Int_Tables_number 59
_cell_length_a 3.7916
_cell_length_b 16.3495
_cell_length_c 3.9314
_cell_angle_alpha 90.00
_cell_angle_beta 90.00
_cell_angle_gamma 90.00
loop_
_symmetry_equiv_pos_as_xyz
'x,y,z'
'-x,-y,-z'
'-x+1/2,-y+1/2,z'
'x+1/2,y+1/2,-z'
'x+1/2,-y,-z'
'-x+1/2,y,z'
'-x,y+1/2,-z'
'x,-y+1/2,z'
loop_
_atom_site_label
_atom_site_type_symbol
_atom_site_fract_x
_atom_site_fract_y
_atom_site_fract_z
_atom_site_occupancy
Sb1 Sb 0.2500 0.0423 0.2472 1
Sb2 Sb 0.2500 0.7500 0.4496 1
H1 H 0.2500 0.2500 0.4801 1
H2 H 0.2500 0.6730 0.1424 1
# energy relative to the lowest polymorph listed for this composition	307	meV/atom
# size of the total moment	0.0	μB/f.u.
# calculated volume	20.31	Å³/atom
# DOS(E_F)	0.171	states/eV/atom



# KMgIn2Sn | Alexandria via LeMat-Bulk | PBE | relaxed
data_KMgIn2Sn
_chemical_formula_sum 'K2 Mg2 In4 Sn2'
_symmetry_space_group_name_H-M 'I m m 2'
_symmetry_Int_Tables_number 44
_symmetry_space_group_name_Hall 'I 2 -2'
_cell_length_a 4.7899
_cell_length_b 4.9361
_cell_length_c 12.8320
_cell_angle_alpha 90.00
_cell_angle_beta 90.00
_cell_angle_gamma 90.00
loop_
_atom_site_label
_atom_site_type_symbol
_atom_site_fract_x
_atom_site_fract_y
_atom_site_fract_z
_atom_site_occupancy
K1 K 0.0000 0.0000 0.0000 1
Mg1 Mg 0.0000 0.5000 0.7427 1
In1 In 0.0000 0.0000 0.3869 1
In2 In 0.0000 0.5000 0.2543 1
Sn1 Sn 0.0000 0.0000 0.6133 1
# size of the total moment	0.0	μB/f.u.
# calculated volume	30.34	Å³/atom
# DOS(E_F)	0.307	states/eV/atom
# ΔH_f (0 K)	-0.167	eV per atom



# BeAuSeN2 | Alexandria via LeMat-Bulk | PBE | relaxed
data_BeAuSeN2
_chemical_formula_sum 'Be1 Au1 Se1 N2'
_symmetry_space_group_name_H-M 'P 4/m m m'
_symmetry_Int_Tables_number 123
_symmetry_space_group_name_Hall '-P 4 2'
_cell_length_a 3.5584
_cell_length_b 3.5584
_cell_length_c 6.0755
_cell_angle_alpha 90.00
_cell_angle_beta 90.00
_cell_angle_gamma 90.00
loop_
_atom_site_label
_atom_site_type_symbol
_atom_site_fract_x
_atom_site_fract_y
_atom_site_fract_z
_atom_site_occupancy
Be1 Be 0.0000 0.0000 0.0000 1
Au1 Au 0.5000 0.5000 0.5000 1
Se1 Se 0.0000 0.0000 0.5000 1
N1 N 0.0000 0.5000 0.0000 1
# energy relative to the lowest polymorph listed for this composition	0	meV/atom
# size of the total moment	2.3	μB/f.u.
# calculated volume	15.39	Å³/atom
# DOS(E_F)	0.457	states/eV/atom
# raw formation energy	1.21	eV/atom



# Tb2PS | Alexandria via LeMat-Bulk | PBE | relaxed
data_Tb2PS
_chemical_formula_sum 'Tb6 P3 S3'
_symmetry_space_group_name_H-M 'R 3 m'
_symmetry_Int_Tables_number 160
_symmetry_space_group_name_Hall 'R 3 -2"'
_cell_length_a 3.9145
_cell_length_b 3.9145
_cell_length_c 20.6137
_cell_angle_alpha 90.00
_cell_angle_beta 90.00
_cell_angle_gamma 120.00
loop_
_atom_site_label
_atom_site_type_symbol
_atom_site_fract_x
_atom_site_fract_y
_atom_site_fract_z
_atom_site_occupancy
Tb1 Tb 0.0000 0.0000 0.0000 1
Tb2 Tb 0.0000 0.0000 0.1789 1
P1 P 0.0000 0.0000 0.5907 1
S1 S 0.0000 0.0000 0.4213 1
# energy relative to the lowest polymorph listed for this composition	105	meV/atom
# size of the total moment	0.0	μB/f.u.
# calculated volume	22.80	Å³/atom
# DOS(E_F)	0.600	states/eV/atom
# raw formation energy	-1.78	eV/atom



# TaCu2Pt | Alexandria via LeMat-Bulk | PBE | relaxed
data_TaCu2Pt
_chemical_formula_sum 'Ta2 Cu4 Pt2'
_symmetry_space_group_name_H-M 'C m m m'
_symmetry_Int_Tables_number 65
_symmetry_space_group_name_Hall '-C 2 2'
_cell_length_a 5.3730
_cell_length_b 7.8269
_cell_length_c 2.7861
_cell_angle_alpha 90.00
_cell_angle_beta 90.00
_cell_angle_gamma 90.00
loop_
_atom_site_label
_atom_site_type_symbol
_atom_site_fract_x
_atom_site_fract_y
_atom_site_fract_z
_atom_site_occupancy
Ta1 Ta 0.0000 0.0000 0.0000 1
Cu1 Cu 0.2500 0.2500 0.5000 1
Pt1 Pt 0.0000 0.5000 0.0000 1
# energy relative to the lowest polymorph listed for this composition	239	meV/atom
# size of the total moment	0.0	μB/f.u.
# calculated volume	14.65	Å³/atom
# DOS(E_F)	0.959	states/eV/atom
# ΔH_f (0 K)	0.014	eV per atom



# Ag2SI | Alexandria via LeMat-Bulk | PBE | relaxed
data_Ag2SI
_chemical_formula_sum 'Ag6 S3 I3'
_symmetry_space_group_name_H-M 'R -3 m'
_symmetry_Int_Tables_number 166
_symmetry_space_group_name_Hall '-R 3 2"'
_cell_length_a 3.9720
_cell_length_b 3.9720
_cell_length_c 24.0017
_cell_angle_alpha 90.00
_cell_angle_beta 90.00
_cell_angle_gamma 120.00
loop_
_atom_site_label
_atom_site_type_symbol
_atom_site_fract_x
_atom_site_fract_y
_atom_site_fract_z
_atom_site_occupancy
Ag1 Ag 0.0000 0.0000 0.1156 1
S1 S 0.0000 0.0000 0.5000 1
I1 I 0.0000 0.0000 0.0000 1
# energy relative to the lowest polymorph listed for this composition	99	meV/atom
# size of the total moment	0.0	μB/f.u.
# calculated volume	27.33	Å³/atom
# DOS(E_F)	0.849	states/eV/atom
# raw formation energy	0.07	eV/atom



# Sc3SbS | Alexandria via LeMat-Bulk | PBE | relaxed
data_Sc3SbS
_chemical_formula_sum 'Sc12 Sb4 S4'
_symmetry_space_group_name_H-M 'C 1 2/m 1'
_symmetry_Int_Tables_number 12
_symmetry_space_group_name_Hall '-C 2y'
_cell_length_a 15.7082
_cell_length_b 3.8949
_cell_length_c 8.7874
_cell_angle_alpha 90.00
_cell_angle_beta 116.42
_cell_angle_gamma 90.00
loop_
_atom_site_label
_atom_site_type_symbol
_atom_site_fract_x
_atom_site_fract_y
_atom_site_fract_z
_atom_site_occupancy
Sc1 Sc 0.0436 0.0000 0.2093 1
Sc2 Sc 0.1542 0.5000 0.0179 1
Sc3 Sc 0.2223 0.5000 0.6374 1
Sb1 Sb 0.1294 0.0000 0.7517 1
S1 S 0.1583 0.5000 0.3186 1
# energy relative to the lowest polymorph listed for this composition	98	meV/atom
# size of the total moment	0.0	μB/f.u.
# calculated volume	24.07	Å³/atom
# DOS(E_F)	0.860	states/eV/atom
# raw formation energy	-1.03	eV/atom



# TaVCo2Se | Alexandria via LeMat-Bulk | PBE | relaxed
data_TaVCo2Se
_chemical_formula_sum 'Ta1 V1 Co2 Se1'
_symmetry_space_group_name_H-M 'P 4/m m m'
_symmetry_Int_Tables_number 123
_symmetry_space_group_name_Hall '-P 4 2'
_cell_length_a 4.2158
_cell_length_b 4.2158
_cell_length_c 4.7757
_cell_angle_alpha 90.00
_cell_angle_beta 90.00
_cell_angle_gamma 90.00
loop_
_atom_site_label
_atom_site_type_symbol
_atom_site_fract_x
_atom_site_fract_y
_atom_site_fract_z
_atom_site_occupancy
Ta1 Ta 0.0000 0.0000 0.0000 1
V1 V 0.0000 0.0000 0.5000 1
Co1 Co 0.0000 0.5000 0.5000 1
Se1 Se 0.5000 0.5000 0.0000 1
# size of the total moment	0.0	μB/f.u.
# calculated volume	16.98	Å³/atom
# DOS(E_F)	1.000	states/eV/atom
# raw formation energy	1.18	eV/atom



# LaPrTm2In4 | Alexandria via LeMat-Bulk | PBE | relaxed
data_LaPrTm2In4
_chemical_formula_sum 'La3 Pr3 Tm6 In12'
_symmetry_space_group_name_H-M 'R -3 m'
_symmetry_Int_Tables_number 166
_symmetry_space_group_name_Hall '-R 3 2"'
_cell_length_a 5.4056
_cell_length_b 5.4056
_cell_length_c 26.5617
_cell_angle_alpha 90.00
_cell_angle_beta 90.00
_cell_angle_gamma 120.00
loop_
_atom_site_label
_atom_site_type_symbol
_atom_site_fract_x
_atom_site_fract_y
_atom_site_fract_z
_atom_site_occupancy
La1 La 0.0000 0.0000 0.0000 1
Pr1 Pr 0.0000 0.0000 0.5000 1
Tm1 Tm 0.0000 0.0000 0.2500 1
In1 In 0.0000 0.0000 0.1256 1
In2 In 0.0000 0.0000 0.3756 1
# size of the total moment	0.0	μB/f.u.
# calculated volume	28.01	Å³/atom
# DOS(E_F)	0.408	states/eV/atom
# ΔH_f (0 K)	-0.462	eV per atom



# Nd5ErZn4 | Alexandria via LeMat-Bulk | PBE | relaxed
data_Nd5ErZn4
_chemical_formula_sum 'Nd5 Er1 Zn4'
_symmetry_space_group_name_H-M 'P 4/m m m'
_symmetry_Int_Tables_number 123
_symmetry_space_group_name_Hall '-P 4 2'
_cell_length_a 3.6801
_cell_length_b 3.6801
_cell_length_c 19.7165
_cell_angle_alpha 90.00
_cell_angle_beta 90.00
_cell_angle_gamma 90.00
loop_
_atom_site_label
_atom_site_type_symbol
_atom_site_fract_x
_atom_site_fract_y
_atom_site_fract_z
_atom_site_occupancy
Nd1 Nd 0.0000 0.0000 0.0000 1
Nd2 Nd 0.0000 0.0000 0.1866 1
Nd3 Nd 0.0000 0.0000 0.3728 1
Er1 Er 0.5000 0.5000 0.5000 1
Zn1 Zn 0.5000 0.5000 0.0938 1
Zn2 Zn 0.5000 0.5000 0.2806 1
# size of the total moment	0.0	μB/f.u.
# calculated volume	26.70	Å³/atom
# DOS(E_F)	1.145	states/eV/atom
# ΔH_f (0 K)	-0.238	eV per atom